# ErU2Pd9

An optimized crystal structure of ErU2Pd9 (GGA-PBE, Alexandria).

For the density of states at the Fermi level, the calculation gives 17.1 states/eV per cell. The formation energy from the elements is -0.672 eV per atom.

The space group is P4/mmm (No. 123) and the conventional cell measures 4.131, 4.131 and 12.389 Å, with angles of 90.00, 90.00 and 90.00 degrees. The asymmetric unit holds Er at (0.000, 0.000, 0.000), U at (0.000, 0.000, 0.331), Pd at (0.000, 0.500, 0.167), Pd at (0.000, 0.500, 0.500), Pd at (0.500, 0.500, 0.000) and Pd at (0.500, 0.500, 0.333).